Compound: Ca2Br3
Source: Alexandria via LeMat-Bulk
Functional: PBE
Structure: relaxed

Output
The calculation puts the final energy at -3.469 eV/atom. The energy relative to the elements, uncorrected comes out at -1.6650 eV per atom.

Cell: 4.3898 4.3898 30.5076 Å, 90.00 90.00 120.00°
Space group R-3m (No. 166, hexagonal axes)
Inequivalent atoms, fractional coordinates:
Ca 0.0000 0.0000 0.1100 (multiplicity 6)
Br 0.0000 0.0000 0.2716 (multiplicity 6)
Br 0.0000 0.0000 0.5000 (multiplicity 3)

***

Compound: Ti4MnNi
Source: Alexandria via LeMat-Bulk
Functional: PBE
Structure: relaxed

Output
Its relative energy among the computed polymorphs is 299.3 meV/atom. The calculation puts the final energy at -7.663 eV/atom. The calculation puts the formation energy at 0.09 eV/atom.

Cell: 4.3693 4.3693 18.0636 Å, 90.00 90.00 120.00°
Space group R-3m (No. 166, hexagonal axes)
Inequivalent atoms, fractional coordinates:
Ti 0.0000 0.0000 0.1221 (multiplicity 6)
Ti 0.0000 0.0000 0.3703 (multiplicity 6)
Mn 0.0000 0.0000 0.0000 (multiplicity 3)
Ni 0.0000 0.0000 0.5000 (multiplicity 3)

***

Compound: LaSbSe2
Source: Alexandria via LeMat-Bulk
Functional: PBE
Structure: relaxed

Output
Its relative energy among the computed polymorphs is 87.7 meV/atom. The calculation puts the final energy at -5.044 eV/atom. The energy relative to the elements, uncorrected comes out at -1.0394 eV per atom.

Cell: 4.252 4.252 11.491 Å, 90.00 90.00 90.00°
Space group I-4m2 (No. 119)
Inequivalent atoms, fractional coordinates:
La 0.000 0.000 0.000 (multiplicity 2)
Sb 0.000 0.500 0.750 (multiplicity 2)
Se 0.000 0.000 0.500 (multiplicity 2)
Se 0.000 0.500 0.250 (multiplicity 2)

***

Compound: Ca2MoP
Source: Alexandria via LeMat-Bulk
Functional: PBE
Structure: relaxed

Output
The calculation puts the final energy at -4.763 eV/atom. The calculation puts the formation energy at 0.30 eV/atom.

Cell: 6.086 9.097 2.957 Å, 90.00 90.00 90.00°
Space group Cmmm (No. 65)
Inequivalent atoms, fractional coordinates:
Ca 0.250 0.250 0.000 (multiplicity 4)
Mo 0.000 0.000 0.500 (multiplicity 2)
P 0.000 0.500 0.500 (multiplicity 2)